First-principles (PBE-GGA) data for a relaxed Cs2NaCuHg crystal, as listed in Alexandria via LeMat-Bulk.

Output
- Formation energy from the elements: 93 meV/atom
- Symmetry: P4/mmm

a = 6.9025 Å, b = 6.9025 Å, c = 5.2557 Å
α = 90.00°, β = 90.00°, γ = 90.00°
With the nearest neighbours (Å) after each atom.
Fractional coordinates of all 5 atoms:
Cs (0.0000, 0.5000, 0.0000)  2 Cu 3.45
Cs (0.5000, 0.0000, 0.0000)  2 Cu 3.45
Na (0.5000, 0.5000, 0.5000)  8 Cs 4.34
Hg (0.0000, 0.0000, 0.5000)  2 Cu 2.63
Cu (0.0000, 0.0000, 0.0000)  2 Hg 2.63

***

First-principles (PBE-GGA) data for a relaxed CaHf2F2 crystal, as listed in Alexandria via LeMat-Bulk.

Output
- E_form (uncorrected): -1271 meV per atom
- Symmetry: I4/mmm
- Excess energy over the best structure of this formula in the dataset: 0.0 meV/atom

a = 3.3520 Å, b = 3.3520 Å, c = 8.7402 Å
α = 78.94°, β = 78.94°, γ = 90.00°
With the nearest neighbours (Å) after each atom.
Fractional coordinates of all 5 atoms:
Ca (0.0000, 0.0000, 0.0000)  4 Ca 3.35, 8 Hf 3.49
Hf (0.3477, 0.3477, 0.3046)  4 F 2.35
Hf (0.6523, 0.6523, 0.6954)  4 F 2.35
F (0.7500, 0.2500, 0.5000)  4 Hf 2.35, 4 F 2.37
F (0.2500, 0.7500, 0.5000)  4 Hf 2.35, 4 F 2.37

***

First-principles (PBE-GGA) data for a relaxed LaIr2OsAu crystal, as listed in Alexandria via LeMat-Bulk.

Output
- Formation energy from the elements: 444 meV/atom
- Symmetry: P4/mmm

a = 4.7728 Å, b = 5.1044 Å, c = 4.7728 Å
α = 90.00°, β = 90.00°, γ = 90.00°
With the nearest neighbours (Å) after each atom.
Fractional coordinates of all 5 atoms:
Os (0.0000, 0.0000, 0.0000)  4 Ir 2.39, 2 Au 2.55
Ir (0.0000, 0.0000, 0.5000)  2 Os 2.39
Ir (0.5000, 0.0000, 0.0000)  2 Os 2.39
Au (0.0000, 0.5000, 0.0000)  2 Os 2.55
La (0.5000, 0.5000, 0.5000)  4 Au 3.37, 8 Ir 3.49

***

First-principles (PBE-GGA) data for a relaxed DySc3In crystal, as listed in Alexandria via LeMat-Bulk.

Output
- Formation energy from the elements: -113 meV/atom
- Symmetry: Pmmn
- Excess energy over the best structure of this formula in the dataset: 37.1 meV/atom

a = 5.0814 Å, b = 7.6961 Å, c = 6.6413 Å
α = 90.00°, β = 90.00°, γ = 90.00°
With the nearest neighbours (Å) after each atom.
Fractional coordinates of all 10 atoms:
Dy (0.5000, 0.0000, 0.2103)  2 Sc 3.11, 2 In 3.28
Dy (0.0000, 0.5000, 0.7897)  2 Sc 3.11, 2 In 3.28
Sc (0.0000, 0.6903, 0.2656)  4 Sc 2.93-3.24, 3 In 2.93-3.25
Sc (0.5000, 0.8097, 0.7344)  4 Sc 2.93-3.24, 3 In 2.93-3.25
Sc (0.5000, 0.1903, 0.7344)  4 Sc 2.93-3.24, 3 In 2.93-3.25
Sc (0.0000, 0.3097, 0.2656)  4 Sc 2.93-3.24, 3 In 2.93-3.25
Sc (0.0000, 0.0000, 0.9413)  1 In 2.78, 2 Dy 3.11
Sc (0.5000, 0.5000, 0.0587)  1 In 2.78, 2 Dy 3.11
In (0.0000, 0.0000, 0.5224)  3 Sc 2.78-2.93
In (0.5000, 0.5000, 0.4776)  3 Sc 2.78-2.93

***

First-principles (PBE-GGA) data for a relaxed Ce2Nd3Sn3 crystal, as listed in Alexandria via LeMat-Bulk.

Output
- Formation energy from the elements: -631 meV/atom
- Symmetry: P6_3/mcm

a = 6.4800 Å, b = 9.4196 Å, c = 9.4196 Å
α = 120.00°, β = 90.00°, γ = 90.00°
With the nearest neighbours (Å) after each atom.
Fractional coordinates of all 16 atoms:
Ce (0.0000, 0.3333, 0.6667)  2 Ce 3.24, 6 Sn 3.34
Ce (0.5000, 0.6667, 0.3333)  2 Ce 3.24, 6 Sn 3.34
Ce (0.0000, 0.6667, 0.3333)  2 Ce 3.24, 6 Sn 3.34
Ce (0.5000, 0.3333, 0.6667)  2 Ce 3.24, 6 Sn 3.34
Nd (0.7500, 0.2537, 0.0000)  5 Sn 3.21-3.48
Nd (0.7500, 0.7463, 0.7463)  5 Sn 3.21-3.48
Nd (0.7500, 0.0000, 0.2537)  5 Sn 3.21-3.48
Nd (0.2500, 0.7463, 0.0000)  5 Sn 3.21-3.48
Nd (0.2500, 0.2537, 0.2537)  5 Sn 3.21-3.48
Nd (0.2500, 0.0000, 0.7463)  5 Sn 3.21-3.48
Sn (0.7500, 0.6127, 0.0000)  5 Nd 3.21-3.48, 4 Ce 3.34
Sn (0.7500, 0.3873, 0.3873)  5 Nd 3.21-3.48, 4 Ce 3.34
Sn (0.7500, 0.0000, 0.6127)  5 Nd 3.21-3.48, 4 Ce 3.34
Sn (0.2500, 0.3873, 0.0000)  5 Nd 3.21-3.48, 4 Ce 3.34
Sn (0.2500, 0.6127, 0.6127)  5 Nd 3.21-3.48, 4 Ce 3.34
Sn (0.2500, 0.0000, 0.3873)  5 Nd 3.21-3.48, 4 Ce 3.34

***

First-principles (PBE-GGA) data for a relaxed Ac2DyHoSe4 crystal, as listed in Alexandria via LeMat-Bulk.

Output
- E_form (uncorrected): -1797 meV per atom
- Symmetry: P2/m

a = 4.1312 Å, b = 7.1888 Å, c = 7.7657 Å
α = 107.86°, β = 90.00°, γ = 90.00°
With the nearest neighbours (Å) after each atom.
Fractional coordinates of all 8 atoms:
Ac (0.5000, 0.0000, 0.5000)  6 Se 3.17
Ac (0.0000, 0.5000, 0.5000)  6 Se 3.18
Dy (0.5000, 0.5000, 0.0000)  6 Se 2.88-2.89
Ho (0.0000, 0.0000, 0.0000)  6 Se 2.88
Se (0.5000, 0.2380, 0.2176)  2 Ho 2.88, 1 Dy 2.89, 3 Ac 3.17-3.18
Se (0.5000, 0.7620, 0.7824)  2 Ho 2.88, 1 Dy 2.89, 3 Ac 3.17-3.18
Se (0.0000, 0.2600, 0.7818)  1 Ho 2.88, 2 Dy 2.88, 3 Ac 3.17-3.18
Se (0.0000, 0.7400, 0.2182)  1 Ho 2.88, 2 Dy 2.88, 3 Ac 3.17-3.18

***

First-principles (PBE-GGA) data for a relaxed DyYMgIr crystal, as listed in Alexandria via LeMat-Bulk.

Output
- Formation energy from the elements: -454 meV/atom
- Symmetry: F-43m

a = 5.0315 Å, b = 5.0315 Å, c = 5.0315 Å
α = 60.00°, β = 60.00°, γ = 60.00°
With the nearest neighbours (Å) after each atom.
Fractional coordinates of all 4 atoms:
Y (0.7500, 0.7500, 0.7500)  4 Ir 3.08, 4 Mg 3.08
Mg (0.0000, 0.0000, 0.0000)  4 Dy 3.08, 4 Y 3.08
Ir (0.5000, 0.5000, 0.5000)  4 Dy 3.08, 4 Y 3.08
Dy (0.2500, 0.2500, 0.2500)  4 Mg 3.08, 4 Ir 3.08

***

First-principles (PBE-GGA) data for a relaxed La2Sn3PdPt4 crystal, as listed in Alexandria via LeMat-Bulk.

Output
- Formation energy from the elements: -844 meV/atom
- Symmetry: P-4m2

a = 4.2878 Å, b = 4.2878 Å, c = 12.0588 Å
α = 90.00°, β = 90.00°, γ = 90.00°
With the nearest neighbours (Å) after each atom.
Fractional coordinates of all 10 atoms:
La (0.5000, 0.0000, 0.2693)  4 Pt 3.18, 6 Sn 3.46-3.51, 2 Pd 3.51
La (0.0000, 0.5000, 0.7307)  4 Pt 3.18, 6 Sn 3.46-3.51, 2 Pd 3.51
Sn (0.0000, 0.0000, 0.5000)  4 Pt 2.81, 4 Pd 3.03
Sn (0.5000, 0.0000, 0.8683)  5 Pt 2.62-2.67
Sn (0.0000, 0.5000, 0.1317)  5 Pt 2.62-2.67
Pd (0.5000, 0.5000, 0.5000)  4 Pt 2.81, 4 Sn 3.03
Pt (0.5000, 0.5000, 0.0000)  4 Sn 2.67
Pt (0.0000, 0.0000, 0.0000)  4 Sn 2.67
Pt (0.5000, 0.0000, 0.6509)  3 Sn 2.62-2.81, 2 Pd 2.81
Pt (0.0000, 0.5000, 0.3491)  3 Sn 2.62-2.81, 2 Pd 2.81

***

In order of appearance, total magnetization = 0.00 0.00 0.00 0.00 0.42 0.00 0.00 0.00 μB per atom.
In order of appearance, E_tot = -1.39 -6.40 -6.99 -5.38 -5.40 -5.71 -5.83 -5.97 eV/atom.